Entry from Alexandria via LeMat-Bulk: crystalline Cd8Ga6Pb at its relaxed geometry (PBE).

For the magnetic moment, the calculation gives 0.00 μB per formula unit. For the density of states at the Fermi level, the calculation gives 16.99 states/eV/cell. The calculation puts the volume at 1023.91 Å³ per cell. As for the formation energy: 1.533 kcal/mol of atoms. The density is 7.42 g/cm³.

CIF file:
```
data_Cd8Ga6Pb
_chemical_formula_sum 'Cd24 Ga18 Pb3'
_symmetry_space_group_name_H-M 'R -3'
_symmetry_Int_Tables_number 148
_symmetry_space_group_name_Hall '-R 3'
_cell_length_a 8.7012
_cell_length_b 8.7012
_cell_length_c 15.6162
_cell_angle_alpha 90.00
_cell_angle_beta 90.00
_cell_angle_gamma 120.00
loop_
_atom_site_label
_atom_site_fract_x
_atom_site_fract_y
_atom_site_fract_z
Cd1 0.0000 0.0000 0.2085
Cd2 0.0073 0.3193 0.1294
Ga1 0.0009 0.1934 0.6341
Pb1 0.0000 0.0000 0.0000
```

***

Entry from Alexandria via LeMat-Bulk: crystalline Nd4GaPt3 at its relaxed geometry (PBE).

For the magnetic moment, the calculation gives 0.00 μB per formula unit. For the density of states at the Fermi level, the calculation gives 5.02 states/eV/cell. The calculation puts the volume at 198.98 Å³ per cell. As for the formation energy: -23.089 kcal/mol of atoms. The density is 10.28 g/cm³.

CIF file:
```
data_Nd4GaPt3
_chemical_formula_sum 'Nd4 Ga1 Pt3'
_symmetry_space_group_name_H-M 'P m m 2'
_symmetry_Int_Tables_number 25
_cell_length_a 3.969
_cell_length_b 4.499
_cell_length_c 11.142
_cell_angle_alpha 90.00
_cell_angle_beta 90.00
_cell_angle_gamma 90.00
loop_
_symmetry_equiv_pos_as_xyz
'x,y,z'
'-x,-y,z'
'-x,y,z'
'x,-y,z'
loop_
_atom_site_label
_atom_site_fract_x
_atom_site_fract_y
_atom_site_fract_z
Nd1 0.000 0.000 0.000
Nd2 0.000 0.500 0.268
Nd3 0.500 0.000 0.486
Nd4 0.500 0.500 0.772
Ga1 0.000 0.000 0.705
Pt1 0.000 0.500 0.553
Pt2 0.500 0.000 0.219
Pt3 0.500 0.500 0.044
```

***

Entry from Alexandria via LeMat-Bulk: crystalline Sm4YTm6 at its relaxed geometry (PBE).

For the magnetic moment, the calculation gives 0.00 μB per formula unit. For the density of states at the Fermi level, the calculation gives 26.95 states/eV/cell. The calculation puts the volume at 733.59 Å³ per cell. As for the formation energy: 7.047 kcal/mol of atoms. The density is 7.71 g/cm³. For the energy above the most stable polymorph in this dataset, the calculation gives 0.000 eV/atom.

CIF file:
```
data_Sm4YTm6
_chemical_formula_sum 'Sm8 Y2 Tm12'
_symmetry_space_group_name_H-M 'I -4 2 m'
_symmetry_Int_Tables_number 121
_symmetry_space_group_name_Hall 'I -4 2'
_cell_length_a 6.580
_cell_length_b 6.580
_cell_length_c 16.943
_cell_angle_alpha 90.00
_cell_angle_beta 90.00
_cell_angle_gamma 90.00
loop_
_atom_site_label
_atom_site_fract_x
_atom_site_fract_y
_atom_site_fract_z
Sm1 0.189 0.189 0.325
Y1 0.000 0.000 0.500
Tm1 0.000 0.500 0.000
Tm2 0.179 0.179 0.127
```

***

Question: What is the formula in the first record?
Answer: Cd8Ga6Pb

***

Question: What is the formula in the third record?
Answer: Sm4YTm6

***

Question: What is the formula in the first record?
Answer: Cd8Ga6Pb